Entry 1
First-principles (PBE) data for a relaxed structure of Pm8DyHo6, as listed in Alexandria via LeMat-Bulk.

The structure in extended XYZ format:
```
15
Lattice="9.404 0.000 0.000 -4.702 8.144 0.000 0.000 0.000 6.538" Properties=species:S:1:pos:R:3 pbc="T T T"
Pm -3.189 6.109 1.091
Pm 1.006 2.328 1.091
Pm 2.519 0.293 5.448
Pm 0.000 5.430 0.790
Pm 4.702 2.715 5.748
Pm 2.183 7.851 1.091
Pm 3.696 5.816 5.448
Pm 7.891 2.035 5.448
Dy 0.000 0.000 3.269
Ho -2.204 5.339 4.309
Ho 1.181 3.566 4.309
Ho 3.679 0.761 2.230
Ho 1.023 7.384 4.309
Ho 3.521 4.578 2.230
Ho 6.906 2.806 2.230
```

Calculated values
Volume ... 33.38 Å³ per atom
Fermi-level density of states ... 23.44 states/eV per cell
Spin magnetization ... 0.00 μB/atom

***

Entry 2
First-principles (PBE) data for a relaxed structure of Pm8DyHo6, as listed in Alexandria via LeMat-Bulk.

The structure in extended XYZ format:
```
15
Lattice="4.549 2.627 6.944 -4.549 2.627 6.944 0.000 -5.253 6.944" Properties=species:S:1:pos:R:3 pbc="T T T"
Pm 0.000 0.000 1.615
Pm -1.796 0.865 7.499
Pm 0.149 -1.988 7.499
Pm -1.647 -1.123 13.332
Pm 1.647 1.123 7.499
Pm -0.149 1.988 13.332
Pm 1.796 -0.865 13.332
Pm 0.000 0.000 19.216
Dy 0.000 0.000 10.416
Ho -2.542 -2.245 9.601
Ho -3.215 1.079 11.230
Ho 0.673 -3.324 11.230
Ho -0.673 3.324 9.601
Ho 3.215 -1.079 9.601
Ho 2.542 2.245 11.230
```

Calculated values
Volume ... 33.19 Å³ per atom
Fermi-level density of states ... 22.77 states/eV per cell
Spin magnetization ... 0.00 μB/atom

***

The energy of each structure relative to the most stable one, in eV/atom, is as follows: entry 1 0.052; entry 2 0.000.